The following is a DFT calculation (PBE-GGA) of Y2ZnCu6 after structural relaxation.

Cell and atoms, written as POSCAR:
```
Y2ZnCu6
1.0
5.5783 -0.4337 0.4522
0.2448 5.0793 2.0470
-0.3622 0.7815 5.4137
Y Zn Cu
2 1 6
Cartesian
4.6796 1.5858 2.8682
0.7813 3.8414 5.0447
0.0000 0.0000 0.0000
1.9837 3.2456 2.4374
1.8664 0.9014 1.4872
1.7042 1.2665 3.9877
3.4772 2.1816 5.4756
3.5945 4.5258 6.4257
3.7567 4.1607 3.9253
```

Results
Electronic total energy = -40.6 eV/f.u.